# 1
A relaxed structure of La3TlGe, computed with PBE-GGA.

Summary:
E above lowest polymorph: 259 meV/atom
Formation energy: -270 meV/atom

Cell lengths 5.758, 5.758, 5.758 Å; angles 90.00, 90.00, 90.00 degrees
Space group Pm-3m (No. 221)
One atom of each set of equivalent atoms:
La 0.000 0.000 0.500 x3
Tl 0.500 0.500 0.500 x1
Ge 0.000 0.000 0.000 x1



# 2
A relaxed structure of TeCCl2, computed with PBE-GGA.

Summary:
E above lowest polymorph: 70 meV/atom
Formation energy from raw total energies: 1.16 eV per atom

Cell lengths 3.2487, 3.2487, 35.0064 Å; angles 90.00, 90.00, 120.00 degrees
Space group R-3m (No. 166, hexagonal axes)
One atom of each set of equivalent atoms:
Te 0.0000 0.0000 0.0000 x3
C 0.0000 0.0000 0.5000 x3
Cl 0.0000 0.0000 0.1285 x6